# 1
Crystalline Pu3MgO at its relaxed geometry, computed with PBE.

* E_form (uncorrected): -0.79 eV/atom
* size of the total moment: 18.3 Bohr magnetons per cell
* raw total energy: -53.5 eV per formula unit

a b c (Å): 4.904 4.904 4.904
angles (deg): 90.00 90.00 90.00
Fractional positions:
Pu: 0.000 0.000 0.500
Pu: 0.000 0.500 0.000
Pu: 0.500 0.000 0.000
Mg: 0.500 0.500 0.500
O: 0.000 0.000 0.000

=====

# 2
Crystalline Pu2MgO6 at its relaxed geometry, computed with PBE.

* E_form (uncorrected): -2.71 eV/atom
* size of the total moment: 12.0 Bohr magnetons per cell
* raw total energy: -84.4 eV per formula unit

a b c (Å): 5.036 5.505 9.258
angles (deg): 90.00 90.00 90.00
Fractional positions:
Pu: 0.000 0.000 0.185
Pu: 0.000 0.000 0.815
Pu: 0.500 0.500 0.315
Pu: 0.500 0.500 0.685
Mg: 0.000 0.500 0.000
Mg: 0.500 0.000 0.500
O: 0.187 0.164 0.000
O: 0.225 0.671 0.169
O: 0.225 0.671 0.831
O: 0.275 0.171 0.331
O: 0.275 0.171 0.669
O: 0.313 0.664 0.500
O: 0.687 0.336 0.500
O: 0.725 0.829 0.331
O: 0.725 0.829 0.669
O: 0.775 0.329 0.169
O: 0.775 0.329 0.831
O: 0.813 0.836 0.000

=====

# 3
Crystalline Pu2MgO at its relaxed geometry, computed with PBE.

* E_form (uncorrected): -0.87 eV/atom
* size of the total moment: 12.1 Bohr magnetons per cell
* raw total energy: -38.7 eV per formula unit

a b c (Å): 9.865 9.865 9.865
angles (deg): 19.44 19.44 19.44
Fractional positions:
Pu: 0.114 0.114 0.114
Pu: 0.886 0.886 0.886
Mg: 0.000 0.000 0.000
O: 0.500 0.500 0.500

=====

Question: What is the formula in the first record?
Answer: Pu3MgO

=====

Question: The lowest size of the total moment belongs to which entry?
Answer: Pu2MgO6